Compound: Fe2SiTc
Source: Alexandria via LeMat-Bulk
Functional: meta-GGA SCAN
Structure: single point on PBEsol structure

Geometry as CIF:
```
data_Fe2SiTc
_chemical_formula_sum 'Fe2 Si1 Tc1'
_cell_length_a 2.920
_cell_length_b 3.936
_cell_length_c 4.045
_cell_angle_alpha 90.00
_cell_angle_beta 90.00
_cell_angle_gamma 90.00
_symmetry_space_group_name_H-M 'P m m m'
_symmetry_Int_Tables_number 47
_symmetry_space_group_name_Hall '-P 2 2'
loop_
_atom_site_label
_atom_site_type_symbol
_atom_site_fract_x
_atom_site_fract_y
_atom_site_fract_z
Fe1 Fe 0.000 0.000 0.000
Fe2 Fe 0.500 0.500 0.000
Si1 Si 0.000 0.500 0.500
Tc1 Tc 0.500 0.000 0.500
```

- formation energy (no corrections) (eV per atom) = -0.257
- crystal system = orthorhombic

=====

Compound: Fe2SiTc
Source: Alexandria via LeMat-Bulk
Functional: meta-GGA SCAN
Structure: single point on PBEsol structure

Geometry as CIF:
```
data_Fe2SiTc
_chemical_formula_sum 'Fe8 Si4 Tc4'
_cell_length_a 5.701
_cell_length_b 5.701
_cell_length_c 5.701
_cell_angle_alpha 90.00
_cell_angle_beta 90.00
_cell_angle_gamma 90.00
_symmetry_space_group_name_H-M 'F -4 3 m'
_symmetry_Int_Tables_number 216
_symmetry_space_group_name_Hall 'F -4 2 3'
loop_
_atom_site_label
_atom_site_type_symbol
_atom_site_fract_x
_atom_site_fract_y
_atom_site_fract_z
Fe1 Fe 0.000 0.000 0.000
Fe2 Fe 0.250 0.250 0.250
Si1 Si 0.000 0.000 0.500
Tc1 Tc 0.250 0.250 0.750
```

- formation energy (no corrections) (eV per atom) = -0.288
- crystal system = cubic

=====

What is the formula in the second record? Fe2SiTc